P | Entry from Alexandria via LeMat-Bulk: crystalline SnHgMo3 at its relaxed geometry (GGA-PBE).

## Properties
The value obtained for the density of states at the Fermi level is 5.0 states/eV per cell.

a = 5.057 Å, b = 5.057 Å, c = 5.057 Å
α = 90.00°, β = 90.00°, γ = 90.00°
Fractional coordinates of all 5 atoms:
1 Mo 0.000 0.500 0.000
2 Mo 0.000 0.000 0.500
3 Mo 0.500 0.000 0.000
4 Hg 0.000 0.000 0.000
5 Sn 0.500 0.500 0.500

=====

Q | Entry from Alexandria via LeMat-Bulk: crystalline SnHgMo3 at its relaxed geometry (GGA-PBE).

## Properties
The value obtained for the density of states at the Fermi level is 6.0 states/eV per cell.

a = 4.914 Å, b = 4.914 Å, c = 4.914 Å
α = 90.00°, β = 90.00°, γ = 90.00°
Fractional coordinates of all 5 atoms:
1 Mo 0.000 0.500 0.000
2 Mo 0.000 0.000 0.500
3 Mo 0.500 0.000 0.000
4 Hg 0.500 0.500 0.500
5 Sn 0.000 0.000 0.000

=====

Most stable of them? Q.

=====

P | Entry from Alexandria via LeMat-Bulk: crystalline SrHg2Mo at its relaxed geometry (GGA-PBE).

## Properties
The value obtained for the density of states at the Fermi level is 3.0 states/eV per cell.

a = 3.158 Å, b = 3.158 Å, c = 9.405 Å
α = 90.00°, β = 90.00°, γ = 89.98°
Fractional coordinates of all 4 atoms:
1 Hg 0.000 0.000 0.015
2 Hg 0.500 0.500 0.270
3 Mo 0.000 0.000 0.473
4 Sr 0.500 0.500 0.742

=====

Q | Entry from Alexandria via LeMat-Bulk: crystalline SrHg2Mo at its relaxed geometry (GGA-PBE).

## Properties
The value obtained for the density of states at the Fermi level is 4.1 states/eV per cell.

a = 10.119 Å, b = 10.119 Å, c = 10.119 Å
α = 18.85°, β = 18.85°, γ = 18.85°
Fractional coordinates of all 4 atoms:
1 Hg 0.992 0.992 0.992
2 Hg 0.508 0.508 0.508
3 Mo 0.250 0.250 0.250
4 Sr 0.750 0.750 0.750

=====

R | Entry from Alexandria via LeMat-Bulk: crystalline SrHg2Mo at its relaxed geometry (GGA-PBE).

## Properties
The value obtained for the density of states at the Fermi level is 2.9 states/eV per cell.

a = 5.991 Å, b = 5.991 Å, c = 5.478 Å
α = 69.61°, β = 69.61°, γ = 30.79°
Fractional coordinates of all 4 atoms:
1 Hg 0.001 0.001 0.052
2 Hg 0.770 0.770 0.654
3 Mo 0.491 0.491 0.602
4 Sr 0.238 0.238 0.192

=====

S | Entry from Alexandria via LeMat-Bulk: crystalline SrHg2Mo at its relaxed geometry (GGA-PBE).

## Properties
The value obtained for the density of states at the Fermi level is 1.8 states/eV per cell.

a = 5.261 Å, b = 5.261 Å, c = 3.294 Å
α = 90.00°, β = 90.00°, γ = 90.00°
Fractional coordinates of all 4 atoms:
1 Hg 0.000 0.000 0.000
2 Hg 0.500 0.500 0.000
3 Mo 0.500 0.000 0.500
4 Sr 0.000 0.500 0.500

=====

Most stable of them? S.

=====

P | Entry from Alexandria via LeMat-Bulk: crystalline SrHg3Mo at its relaxed geometry (GGA-PBE).

## Properties
The value obtained for the density of states at the Fermi level is 2.9 states/eV per cell.

a = 6.092 Å, b = 6.092 Å, c = 6.092 Å
α = 90.00°, β = 90.00°, γ = 90.00°
Fractional coordinates of all 5 atoms:
1 Sr 0.000 0.000 0.000
2 Mo 0.500 0.500 0.500
3 Hg 0.000 0.500 0.000
4 Hg 0.000 0.000 0.500
5 Hg 0.500 0.000 0.000

=====

Q | Entry from Alexandria via LeMat-Bulk: crystalline SrHg3Mo at its relaxed geometry (GGA-PBE).

## Properties
The value obtained for the density of states at the Fermi level is 4.8 states/eV per cell.

a = 5.310 Å, b = 5.310 Å, c = 5.310 Å
α = 90.00°, β = 90.00°, γ = 90.00°
Fractional coordinates of all 5 atoms:
1 Sr 0.500 0.500 0.500
2 Mo 0.000 0.000 0.000
3 Hg 0.000 0.500 0.000
4 Hg 0.000 0.000 0.500
5 Hg 0.500 0.000 0.000

=====

Most stable of them? Q.

=====

P | Entry from Alexandria via LeMat-Bulk: crystalline Ta3HgMo at its relaxed geometry (GGA-PBE).

## Properties
The value obtained for the density of states at the Fermi level is 8.6 states/eV per cell.

a = 4.938 Å, b = 4.938 Å, c = 4.938 Å
α = 90.00°, β = 90.00°, γ = 90.00°
Fractional coordinates of all 5 atoms:
1 Mo 0.500 0.500 0.500
2 Hg 0.000 0.000 0.000
3 Ta 0.000 0.500 0.000
4 Ta 0.000 0.000 0.500
5 Ta 0.500 0.000 0.000

=====

Q | Entry from Alexandria via LeMat-Bulk: crystalline Ta3HgMo at its relaxed geometry (GGA-PBE).

## Properties
The value obtained for the density of states at the Fermi level is 4.2 states/eV per cell.

a = 4.843 Å, b = 4.843 Å, c = 4.843 Å
α = 90.00°, β = 90.00°, γ = 90.00°
Fractional coordinates of all 5 atoms:
1 Mo 0.000 0.000 0.000
2 Hg 0.500 0.500 0.500
3 Ta 0.000 0.500 0.000
4 Ta 0.000 0.000 0.500
5 Ta 0.500 0.000 0.000

=====

Most stable of them? Q.

=====

P | Entry from Alexandria via LeMat-Bulk: crystalline Ta2HgMo2 at its relaxed geometry (GGA-PBE).

## Properties
The value obtained for the density of states at the Fermi level is 10.4 states/eV per cell.

a = 7.634 Å, b = 7.634 Å, c = 3.196 Å
α = 90.00°, β = 90.00°, γ = 90.00°
Fractional coordinates of all 10 atoms:
1 Mo 0.159 0.659 0.500
2 Mo 0.659 0.841 0.500
3 Mo 0.841 0.341 0.500
4 Mo 0.341 0.159 0.500
5 Hg 0.000 0.000 0.000
6 Hg 0.500 0.500 0.000
7 Ta 0.361 0.861 0.000
8 Ta 0.861 0.639 0.000
9 Ta 0.639 0.139 0.000
10 Ta 0.139 0.361 0.000

=====

Q | Entry from Alexandria via LeMat-Bulk: crystalline Ta2HgMo2 at its relaxed geometry (GGA-PBE).

## Properties
The value obtained for the density of states at the Fermi level is 6.6 states/eV per cell.

a = 3.699 Å, b = 3.699 Å, c = 7.547 Å
α = 75.81°, β = 75.81°, γ = 90.00°
Fractional coordinates of all 5 atoms:
1 Mo 0.750 0.250 0.500
2 Mo 0.250 0.750 0.500
3 Hg 0.000 0.000 0.000
4 Ta 0.400 0.400 0.200
5 Ta 0.600 0.600 0.800

=====

Most stable of them? P.

=====

P | Entry from Alexandria via LeMat-Bulk: crystalline TcHg2Mo at its relaxed geometry (GGA-PBE).

## Properties
The value obtained for the density of states at the Fermi level is 8.0 states/eV per cell.

a = 7.609 Å, b = 7.609 Å, c = 6.036 Å
α = 50.93°, β = 50.93°, γ = 90.00°
Fractional coordinates of all 8 atoms:
1 Mo 0.500 0.500 0.000
2 Mo 0.250 0.750 0.500
3 Hg 0.628 0.125 0.250
4 Hg 0.122 0.625 0.250
5 Hg 0.375 0.372 0.750
6 Hg 0.875 0.878 0.750
7 Tc 0.000 0.000 0.000
8 Tc 0.750 0.250 0.500

=====

Q | Entry from Alexandria via LeMat-Bulk: crystalline TcHg2Mo at its relaxed geometry (GGA-PBE).

## Properties
The value obtained for the density of states at the Fermi level is 3.5 states/eV per cell.

a = 4.794 Å, b = 4.794 Å, c = 3.074 Å
α = 90.00°, β = 90.00°, γ = 90.00°
Fractional coordinates of all 4 atoms:
1 Hg 0.000 0.000 0.000
2 Hg 0.500 0.500 0.000
3 Mo 0.500 0.000 0.500
4 Tc 0.000 0.500 0.500

=====

R | Entry from Alexandria via LeMat-Bulk: crystalline TcHg2Mo at its relaxed geometry (GGA-PBE).

## Properties
The value obtained for the density of states at the Fermi level is 4.1 states/eV per cell.

a = 5.091 Å, b = 5.091 Å, c = 5.037 Å
α = 80.11°, β = 80.11°, γ = 33.80°
Fractional coordinates of all 4 atoms:
1 Hg 0.001 0.001 0.998
2 Hg 0.499 0.499 0.502
3 Mo 0.250 0.250 0.250
4 Tc 0.750 0.750 0.750

=====

Most stable of them? R.

=====

P | Entry from Alexandria via LeMat-Bulk: crystalline TcHgMo at its relaxed geometry (GGA-PBE).

## Properties
The value obtained for the density of states at the Fermi level is 2.7 states/eV per cell.

a = 2.929 Å, b = 2.929 Å, c = 6.984 Å
α = 90.00°, β = 90.00°, γ = 120.00°
Fractional coordinates of all 3 atoms:
1 Hg 0.000 0.000 0.998
2 Mo 0.333 0.667 0.361
3 Tc 0.667 0.333 0.641

=====

Q | Entry from Alexandria via LeMat-Bulk: crystalline TcHgMo at its relaxed geometry (GGA-PBE).

## Properties
The value obtained for the density of states at the Fermi level is 2.3 states/eV per cell.

a = 7.491 Å, b = 7.283 Å, c = 2.830 Å
α = 83.13°, β = 74.84°, γ = 22.02°
Fractional coordinates of all 3 atoms:
1 Hg 0.999 0.999 0.001
2 Mo 0.680 0.680 0.320
3 Tc 0.320 0.320 0.680

=====

Most stable of them? P.

=====

P | Entry from Alexandria via LeMat-Bulk: crystalline HgTeMo at its relaxed geometry (GGA-PBE).

## Properties
The value obtained for the density of states at the Fermi level is 1.9 states/eV per cell.

a = 8.210 Å, b = 7.938 Å, c = 3.194 Å
α = 83.42°, β = 73.85°, γ = 22.74°
Fractional coordinates of all 3 atoms:
1 Hg 0.977 0.977 0.023
2 Mo 0.327 0.327 0.673
3 Te 0.696 0.696 0.304

=====

Q | Entry from Alexandria via LeMat-Bulk: crystalline HgTeMo at its relaxed geometry (GGA-PBE).

## Properties
The value obtained for the density of states at the Fermi level is 1.9 states/eV per cell.

a = 7.065 Å, b = 7.065 Å, c = 7.065 Å
α = 153.44°, β = 153.44°, γ = 37.91°
Fractional coordinates of all 3 atoms:
1 Hg 0.966 0.966 0.000
2 Mo 0.326 0.326 0.000
3 Te 0.708 0.708 0.000

=====

Most stable of them? Q.

=====

P | Entry from Alexandria via LeMat-Bulk: crystalline HgTeMo at its relaxed geometry (GGA-PBE).

## Properties
The value obtained for the density of states at the Fermi level is 3.2 states/eV per cell.

a = 4.641 Å, b = 4.641 Å, c = 4.641 Å
α = 60.00°, β = 60.00°, γ = 60.00°
Fractional coordinates of all 3 atoms:
1 Hg 0.500 0.500 0.500
2 Mo 0.750 0.750 0.750
3 Te 0.000 0.000 0.000

=====

Q | Entry from Alexandria via LeMat-Bulk: crystalline HgTeMo at its relaxed geometry (GGA-PBE).

## Properties
The value obtained for the density of states at the Fermi level is 14.0 states/eV per cell.

a = 6.613 Å, b = 6.613 Å, c = 6.613 Å
α = 90.00°, β = 90.00°, γ = 90.00°
Fractional coordinates of all 12 atoms:
1 Mo 0.500 0.000 0.000
2 Mo 0.000 0.500 0.000
3 Mo 0.000 0.000 0.500
4 Mo 0.500 0.500 0.500
5 Te 0.250 0.250 0.250
6 Te 0.750 0.750 0.250
7 Te 0.750 0.250 0.750
8 Te 0.250 0.750 0.750
9 Hg 0.000 0.000 0.000
10 Hg 0.500 0.500 0.000
11 Hg 0.500 0.000 0.500
12 Hg 0.000 0.500 0.500

=====

R | Entry from Alexandria via LeMat-Bulk: crystalline HgTeMo at its relaxed geometry (GGA-PBE).

## Properties
The value obtained for the density of states at the Fermi level is 2.3 states/eV per cell.

a = 4.998 Å, b = 4.998 Å, c = 2.925 Å
α = 90.00°, β = 90.00°, γ = 120.00°
Fractional coordinates of all 3 atoms:
1 Hg 0.000 0.000 0.000
2 Mo 0.667 0.333 0.500
3 Te 0.333 0.667 0.500

=====

Most stable of them? P.

=====

P | Entry from Alexandria via LeMat-Bulk: crystalline Ti4HgMo at its relaxed geometry (GGA-PBE).

## Properties
The value obtained for the density of states at the Fermi level is 6.9 states/eV per cell.

a = 4.451 Å, b = 5.336 Å, c = 5.844 Å
α = 59.00°, β = 90.00°, γ = 114.65°
Fractional coordinates of all 6 atoms:
1 Ti 0.647 0.293 0.701
2 Ti 0.353 0.707 0.299
3 Ti 0.690 0.379 0.156
4 Ti 0.310 0.621 0.844
5 Hg 0.000 0.000 0.500
6 Mo 0.000 0.000 0.000

=====

Q | Entry from Alexandria via LeMat-Bulk: crystalline Ti4HgMo at its relaxed geometry (GGA-PBE).

## Properties
The value obtained for the density of states at the Fermi level is 9.8 states/eV per cell.

a = 4.492 Å, b = 4.501 Å, c = 7.455 Å
α = 72.37°, β = 72.47°, γ = 60.07°
Fractional coordinates of all 6 atoms:
1 Ti 0.634 0.634 0.099
2 Ti 0.366 0.366 0.901
3 Ti 0.117 0.115 0.651
4 Ti 0.883 0.885 0.349
5 Hg 0.500 0.500 0.500
6 Mo 0.000 0.000 0.000

=====

Most stable of them? P.

=====

P | Entry from Alexandria via LeMat-Bulk: crystalline Tl3HgMo at its relaxed geometry (GGA-PBE).

## Properties
The value obtained for the density of states at the Fermi level is 3.4 states/eV per cell.

a = 5.450 Å, b = 5.450 Å, c = 5.450 Å
α = 90.00°, β = 90.00°, γ = 90.00°
Fractional coordinates of all 5 atoms:
1 Mo 0.000 0.000 0.000
2 Tl 0.000 0.500 0.000
3 Tl 0.000 0.000 0.500
4 Tl 0.500 0.000 0.000
5 Hg 0.500 0.500 0.500

=====

Q | Entry from Alexandria via LeMat-Bulk: crystalline Tl3HgMo at its relaxed geometry (GGA-PBE).

## Properties
The value obtained for the density of states at the Fermi level is 3.3 states/eV per cell.

a = 5.683 Å, b = 5.683 Å, c = 5.683 Å
α = 90.00°, β = 90.00°, γ = 90.00°
Fractional coordinates of all 5 atoms:
1 Mo 0.500 0.500 0.500
2 Tl 0.000 0.500 0.000
3 Tl 0.000 0.000 0.500
4 Tl 0.500 0.000 0.000
5 Hg 0.000 0.000 0.000

=====

Most stable of them? P.

=====

P | Entry from Alexandria via LeMat-Bulk: crystalline TlHgMo2 at its relaxed geometry (GGA-PBE).

## Properties
The value obtained for the density of states at the Fermi level is 2.3 states/eV per cell.

a = 3.013 Å, b = 3.013 Å, c = 10.051 Å
α = 90.00°, β = 90.00°, γ = 114.55°
Fractional coordinates of all 4 atoms:
1 Hg 0.500 0.500 0.778
2 Mo 0.000 0.000 0.028
3 Mo 0.500 0.500 0.214
4 Tl 0.000 0.000 0.481

=====

Q | Entry from Alexandria via LeMat-Bulk: crystalline TlHgMo2 at its relaxed geometry (GGA-PBE).

## Properties
The value obtained for the density of states at the Fermi level is 4.7 states/eV per cell.

a = 5.369 Å, b = 5.369 Å, c = 2.868 Å
α = 90.00°, β = 90.00°, γ = 115.16°
Fractional coordinates of all 4 atoms:
1 Hg 0.000 0.500 0.500
2 Mo 0.000 0.000 0.000
3 Mo 0.500 0.500 0.000
4 Tl 0.500 0.000 0.500

=====

Most stable of them? P.